Ba5GeO8 | PBE-GGA | relaxed

a b c (Å): 7.461 7.461 7.461
angles (deg): 116.15 96.81 116.15
Fractional coordinates of all 14 atoms:
O: 0.136 0.299 0.460
O: 0.161 0.701 0.837
O: 0.089 0.772 0.421
O: 0.649 0.228 0.316
O: 0.579 0.668 0.351
O: 0.540 0.676 0.839
O: 0.163 0.324 0.864
O: 0.684 0.332 0.911
Ba: 0.805 0.649 0.619
Ba: 0.971 0.351 0.156
Ba: 0.381 0.186 0.029
Ba: 0.500 0.000 0.500
Ba: 0.844 0.814 0.195
Ge: 0.250 0.500 0.750

Calculated values
The calculation puts the raw total energy at -5.890 eV/atom.